(1)
Material: CeGaGePt3
Method: DFT, PBE-GGA
State: optimized geometry Values from VASP.

Summary:
For the size of the total moment, the calculation gives 1.94 μB per cell. Its space-group type is Cmcm (63). As for the crystal system: orthorhombic. As for the formation energy: -69 kJ/mol of atoms. As for the volume: 21.38 A^3/atom.

Quantum ESPRESSO input file:
```
&SYSTEM
  ibrav = 0, nat = 12, ntyp = 4
/
ATOMIC_SPECIES
Ce 140.12 Ce.upf
Ga 69.72 Ga.upf
Ge 72.64 Ge.upf
Pt 195.08 Pt.upf
CELL_PARAMETERS angstrom
2.824 -8.066 0.000
2.824 8.066 0.000
0.000 0.000 5.632
ATOMIC_POSITIONS angstrom
Ce 2.824 4.987 4.224
Ce 2.824 -4.987 1.408
Ga 2.824 1.607 1.408
Ga 2.824 -1.607 4.224
Ge 2.824 6.571 1.408
Ge 2.824 -6.571 4.224
Pt 2.824 4.096 1.408
Pt 1.430 0.000 0.000
Pt 1.430 0.000 2.816
Pt 4.218 0.000 0.000
Pt 4.218 0.000 2.816
Pt 2.824 -4.096 4.224
```

---

(2)
Material: AcCdHg3
Method: DFT, PBE-GGA
State: optimized geometry Values from VASP.

Summary:
For the size of the total moment, the calculation gives 0.00 μB per cell. Its space-group type is Pnma (62). As for the crystal system: orthorhombic. As for the formation energy: -30 kJ/mol of atoms. As for the polymorph energy (0 for the lowest one): 0.07 eV/f.u. As for the volume: 27.41 A^3/atom.

Quantum ESPRESSO input file:
```
&SYSTEM
  ibrav = 0, nat = 20, ntyp = 3
/
ATOMIC_SPECIES
Ac 227.00 Ac.upf
Cd 112.41 Cd.upf
Hg 200.59 Hg.upf
CELL_PARAMETERS angstrom
9.591 0.000 0.000
0.000 5.298 0.000
0.000 0.000 10.787
ATOMIC_POSITIONS angstrom
Ac 2.286 1.324 0.048
Ac 2.509 3.973 5.441
Ac 7.082 1.324 5.346
Ac 7.305 3.973 10.740
Cd 0.964 1.324 3.661
Cd 3.832 3.973 9.054
Cd 5.759 1.324 1.733
Cd 8.628 3.973 7.127
Hg 0.742 1.324 6.698
Hg 0.919 3.973 9.277
Hg 1.046 3.973 1.754
Hg 3.749 1.324 7.147
Hg 3.877 1.324 3.883
Hg 4.054 3.973 1.305
Hg 5.537 1.324 9.483
Hg 5.714 3.973 6.904
Hg 5.842 3.973 3.640
Hg 8.545 1.324 9.034
Hg 8.672 1.324 1.511
Hg 8.849 3.973 4.089
```

---

(3)
Material: ReOs2Rh
Method: DFT, PBE-GGA
State: optimized geometry Values from VASP.

Summary:
For the size of the total moment, the calculation gives 0.00 μB per cell. Its space-group type is Pmm2 (25). As for the crystal system: orthorhombic. As for the formation energy: 4 kJ/mol of atoms. As for the polymorph energy (0 for the lowest one): 0.03 eV/f.u. As for the volume: 14.45 A^3/atom.

Quantum ESPRESSO input file:
```
&SYSTEM
  ibrav = 0, nat = 4, ntyp = 3
/
ATOMIC_SPECIES
Re 186.21 Re.upf
Os 190.23 Os.upf
Rh 102.91 Rh.upf
CELL_PARAMETERS angstrom
2.727 0.000 0.000
0.000 3.886 0.000
0.000 0.000 5.454
ATOMIC_POSITIONS angstrom
Re 0.000 0.000 0.000
Os 0.000 0.000 2.783
Os 1.364 1.943 4.076
Rh 1.364 1.943 1.364
```

---

(4)
Material: TmTh2Pd2
Method: DFT, PBE-GGA
State: optimized geometry Values from VASP.

Summary:
For the size of the total moment, the calculation gives 0.00 μB per cell. Its space-group type is P4/mbm (127). As for the crystal system: tetragonal. As for the formation energy: -64 kJ/mol of atoms. As for the polymorph energy (0 for the lowest one): 0.00 eV/f.u. As for the volume: 25.21 A^3/atom.

Quantum ESPRESSO input file:
```
&SYSTEM
  ibrav = 0, nat = 10, ntyp = 3
/
ATOMIC_SPECIES
Tm 168.93 Tm.upf
Th 232.04 Th.upf
Pd 106.42 Pd.upf
CELL_PARAMETERS angstrom
8.047 0.000 0.000
0.000 8.047 0.000
0.000 0.000 3.894
ATOMIC_POSITIONS angstrom
Tm 0.000 0.000 0.000
Tm 4.023 4.023 0.000
Th 1.397 2.627 1.947
Th 2.627 6.650 1.947
Th 5.420 1.397 1.947
Th 6.650 5.420 1.947
Pd 1.030 5.053 0.000
Pd 2.993 1.030 0.000
Pd 5.053 7.016 0.000
Pd 7.016 2.993 0.000
```

---

Question: What is the formula in the fourth record?
Answer: TmTh2Pd2

---

Question: What is the volume in the third record?
Answer: 14.45 A^3/atom